This record from Alexandria via LeMat-Bulk describes a relaxed structure of NaPtO3. The functional is PBE.

a b c (Å): 5.365 5.365 6.136
angles (deg): 64.07 64.07 60.00
Last column: magnetic moment on the atom in μB.
Fractional positions:
Na: 0.639 0.639 0.082  0.01
Na: 0.361 0.361 0.918  0.01
Pt: 0.164 0.164 0.508  0.34
Pt: 0.836 0.836 0.492  0.34
O: 0.805 0.048 0.708  0.14
O: 0.952 0.562 0.292  0.14
O: 0.195 0.952 0.292  0.14
O: 0.438 0.805 0.708  0.14
O: 0.048 0.438 0.708  0.14
O: 0.562 0.195 0.292  0.14

Computed properties:
E_form (uncorrected)   -0.832 eV/atom